No. 1
The following is a PBE calculation of RbGdTe after structural relaxation, from OQMD via LeMat-Bulk.

```
9
Lattice="5.6410 0.0000 0.0000 -2.8205 4.8853 0.0000 0.0000 0.0000 11.8257" Properties=species:S:1:pos:R:3 pbc="T T T"
Gd 2.8205 1.6284 5.8596
Gd 0.0000 3.2568 2.7912
Gd 0.0000 3.2568 8.9111
Te 2.8205 1.6284 2.5297
Te 0.0000 3.2568 5.8525
Te 2.8205 1.6284 9.1931
Rb 0.0000 0.0000 7.7245
Rb 0.0000 0.0000 3.9830
Rb 0.0000 0.0000 11.7635
```

Output
Relative energy among the computed polymorphs   0.000 eV/atom
Magnetic moment   0.34 μB/f.u.
Space-group type   P3m1, No. 156
Final energy   -3.3312 eV/atom

***

No. 2
The following is a PBE calculation of RbGdTe after structural relaxation, from OQMD via LeMat-Bulk.

```
3
Lattice="0.0000 3.8614 3.8614 3.8614 0.0000 3.8614 3.8614 3.8614 0.0000" Properties=species:S:1:pos:R:3 pbc="T T T"
Gd 1.9307 1.9307 1.9307
Rb 5.7921 5.7921 5.7921
Te 0.0000 0.0000 0.0000
```

Output
Relative energy among the computed polymorphs   0.184 eV/atom
Magnetic moment   0.62 μB/f.u.
Space-group type   F-43m, No. 216
Final energy   -3.1476 eV/atom

***

No. 3
The following is a PBE calculation of RbGdTlTe3 after structural relaxation, from OQMD via LeMat-Bulk.

```
12
Lattice="-2.4423 6.5912 4.9294 -2.1998 -6.6668 -4.9419 0.0917 -7.2541 9.7452" Properties=species:S:1:pos:R:3 pbc="T T T"
Te -2.2874 -1.9347 -1.0178
Te -2.1936 -7.5646 -1.8238
Te -2.3039 -2.1519 6.3936
Tl -2.2639 -4.8386 7.7789
Te -2.2464 -5.1778 3.3390
Gd 0.0459 -3.6271 4.8726
Gd 0.0000 0.0000 0.0000
Te -2.3568 0.2349 11.5565
Tl -2.2864 -2.4911 1.9537
Rb -2.1905 -8.8526 4.7903
Te -2.2629 -5.3950 10.7504
Rb -2.3598 1.5229 4.9423
```

Output
Magnetic moment   0.01 μB/f.u.
Space-group type   Cmcm, No. 63
Final energy   -3.7771 eV/atom

***

No. 4
The following is a PBE calculation of Rb2GdTmTe4 after structural relaxation, from OQMD via LeMat-Bulk.

```
8
Lattice="-2.4772 2.3228 -2.9677 -0.2329 -4.5029 0.0968 -12.7628 0.9044 11.3612" Properties=species:S:1:pos:R:3 pbc="T T T"
Tm -6.3814 0.4522 5.6806
Te -13.1879 0.8595 8.2541
Te -9.3611 0.5884 4.8476
Te -6.1118 -1.8641 3.6426
Rb -4.9439 0.2754 0.9155
Rb -10.5290 -1.5511 7.5747
Gd 0.0000 0.0000 0.0000
Te -2.2850 -2.1352 0.2361
```

Output
Magnetic moment   0.00 μB/f.u.
Space-group type   P-3m1, No. 164
Final energy   -4.3274 eV/atom

***

No. 5
The following is a PBE calculation of RbGdTmTe3 after structural relaxation, from OQMD via LeMat-Bulk.

```
12
Lattice="2.3412 -8.4214 0.0000 2.3412 8.4214 0.0000 0.0000 0.0000 11.9288" Properties=species:S:1:pos:R:3 pbc="T T T"
Tm 2.3412 7.8258 8.9466
Te 2.3412 6.2828 11.3775
Tm 2.3412 -7.8258 2.9822
Te 2.3412 -6.2828 5.4131
Rb 2.3412 -4.3023 8.9466
Te 2.3412 1.1461 8.9466
Te 2.3412 -6.2828 0.5512
Rb 2.3412 4.3023 2.9822
Te 2.3412 6.2828 6.5156
Gd 2.3412 0.0000 0.0000
Gd 2.3412 0.0000 5.9644
Te 2.3412 -1.1461 2.9822
```

Output
Relative energy among the computed polymorphs   0.000 eV/atom
Magnetic moment   0.04 μB/f.u.
Space-group type   Cmcm, No. 63
Final energy   -4.4692 eV/atom

***

No. 6
The following is a PBE calculation of RbGdTmTe3 after structural relaxation, from OQMD via LeMat-Bulk.

```
12
Lattice="2.3741 -8.4443 0.0000 2.3741 8.4443 0.0000 0.0000 0.0000 11.7114" Properties=species:S:1:pos:R:3 pbc="T T T"
Te 2.3741 -2.0619 6.2732
Te 2.3741 -7.2138 8.7835
Rb 2.3741 -4.1558 2.9278
Tm 0.0000 0.0000 0.0000
Te 2.3741 7.2138 2.9278
Gd 2.3741 0.5171 2.9278
Rb 2.3741 4.1558 8.7835
Te 2.3741 2.0619 5.4381
Te 2.3741 2.0619 0.4176
Gd 2.3741 -0.5171 8.7835
Te 2.3741 -2.0619 11.2938
Tm 0.0000 0.0000 5.8557
```

Output
Relative energy among the computed polymorphs   0.041 eV/atom
Magnetic moment   0.34 μB/f.u.
Space-group type   Cmcm, No. 63
Final energy   -4.4284 eV/atom

***

No. 7
The following is a PBE calculation of Rb2GdYTe4 after structural relaxation, from OQMD via LeMat-Bulk.

```
8
Lattice="4.5317 0.0000 0.0000 -2.2659 3.9246 0.0000 0.0000 0.0000 17.1755" Properties=species:S:1:pos:R:3 pbc="T T T"
Gd 0.0000 0.0000 8.5878
Rb 2.2658 1.3082 12.8818
Te 2.2658 1.3082 6.8665
Te 2.2658 1.3082 1.7164
Te 0.0000 2.6164 10.3090
Te 0.0000 2.6164 15.4591
Y 0.0000 0.0000 0.0000
Rb 0.0000 2.6164 4.2937
```

Output
Magnetic moment   0.00 μB/f.u.
Space-group type   P-3m1, No. 164
Final energy   -4.5985 eV/atom

***

No. 8
The following is a PBE calculation of RbGdZnTe3 after structural relaxation, from OQMD via LeMat-Bulk.

```
24
Lattice="-16.0282 -2.5355 3.8831 1.0814 -0.2413 4.3060 -1.5971 11.7159 1.0577" Properties=species:S:1:pos:R:3 pbc="T T T"
Gd -9.4515 8.5341 3.9997
Te -9.4276 -0.6185 3.4807
Te -10.5589 6.9803 6.4862
Rb -11.5036 -1.7465 6.2344
Te -14.5923 4.3426 7.3513
Te -15.8809 7.9801 5.5833
Te -7.4348 6.0783 3.3556
Te -7.1162 9.5576 5.7661
Zn -0.8862 10.3243 4.2445
Zn -8.4206 5.5377 5.8684
Te -1.9516 4.5965 1.8955
Rb -5.0403 10.6856 3.0124
Zn -8.1233 3.4014 3.3785
Te -9.1091 2.8608 5.8913
Te -13.9947 0.6587 4.6992
Gd -1.1290 7.5388 1.8538
Gd -7.0924 0.4050 5.2472
Te -5.9850 1.9588 2.7606
Zn -15.6577 -1.3852 5.0023
Te -2.5492 8.2804 4.5476
Te -0.6630 0.9590 3.6636
Gd -15.4149 1.4003 7.3930
Rb -4.1860 4.6303 4.7541
Rb -12.3579 4.3088 4.4928
```

Output
Relative energy among the computed polymorphs   0.019 eV/atom
Magnetic moment   0.00 μB/f.u.
Space-group type   Pnma, No. 62
Final energy   -3.7912 eV/atom

***

No. 9
The following is a PBE calculation of RbGdZnTe3 after structural relaxation, from OQMD via LeMat-Bulk.

```
12
Lattice="-7.9473 0.6498 3.0039 -8.4063 -0.7598 -1.1668 0.4915 -11.1339 3.7087" Properties=species:S:1:pos:R:3 pbc="T T T"
Te -6.0880 -0.7240 0.9147
Te -9.7740 -10.5199 4.6311
Zn -7.4605 -2.8345 1.7791
Rb -12.1211 -2.8659 2.3026
Te -5.9025 -4.9253 2.3142
Gd 0.0000 0.0000 0.0000
Rb -3.7409 -8.3781 3.2432
Te -14.9190 -8.4533 4.4989
Gd 0.2458 -5.5670 1.8544
Zn -8.4015 -8.4095 3.7668
Te -0.9430 -2.7907 1.0469
Te -9.9595 -6.3187 3.2316
```

Output
Relative energy among the computed polymorphs   0.000 eV/atom
Magnetic moment   0.00 μB/f.u.
Space-group type   Cmcm, No. 63
Final energy   -3.8100 eV/atom

***

No. 10
The following is a PBE calculation of RbGdZnTe3 after structural relaxation, from OQMD via LeMat-Bulk.

```
24
Lattice="-0.7064 6.1411 -10.0370 -0.7095 -3.7555 -2.2478 -16.1880 1.7393 2.2035" Properties=species:S:1:pos:R:3 pbc="T T T"
Te -6.8949 5.5468 -9.2773
Te -10.7090 -1.4218 -0.8040
Te -15.4094 4.4053 -9.0558
Te -11.7979 4.7961 -6.4756
Zn -5.3624 4.2228 -7.5491
Gd -4.9858 0.7666 -6.2667
Gd -4.5424 -2.3136 -1.2605
Zn -13.7981 3.1020 -7.3869
Rb -8.4161 1.3731 -1.8242
Te -2.5433 2.0466 -4.8031
Te -10.8935 0.8875 -4.6039
Te -5.8060 -0.6711 -3.6058
Zn -12.2415 -0.0979 -2.5322
Te -13.5307 1.9497 -1.1731
Gd -12.6180 3.3583 -3.8146
Te -4.0732 2.1753 -8.9082
Gd -13.0615 6.4386 -8.8209
Rb -0.7181 3.5786 -7.9386
Rb -9.1877 2.7519 -8.2572
Te -15.0606 2.0784 -5.2782
Zn -3.8057 1.0230 -2.6944
Te -6.7104 3.2375 -5.4774
Rb -16.8857 0.5464 -2.1427
Te -2.1945 -0.2803 -1.0255
```

Output
Relative energy among the computed polymorphs   0.000 eV/atom
Magnetic moment   0.00 μB/f.u.
Space-group type   Pnma, No. 62
Final energy   -3.8096 eV/atom

***

No. 11
The following is a PBE calculation of RbGdZnTe3 after structural relaxation, from OQMD via LeMat-Bulk.

```
12
Lattice="10.0758 -2.2790 0.0000 10.0758 2.2790 0.0000 -1.8228 0.0000 9.3182" Properties=species:S:1:pos:R:3 pbc="T T T"
Zn 8.9380 0.0000 2.5030
Rb 2.7171 0.0000 0.5721
Te 5.3318 0.0000 6.0553
Te 12.9971 0.0000 3.2630
Te 11.9786 0.0000 7.2976
Te 10.0758 0.0000 0.0000
Gd 15.9606 0.0000 4.0829
Rb 15.6118 0.0000 8.7462
Zn 9.3909 0.0000 6.8153
Te -0.9114 0.0000 4.6591
Gd 2.3683 0.0000 5.2354
Te 6.3503 0.0000 2.0207
```

Output
Relative energy among the computed polymorphs   0.185 eV/atom
Magnetic moment   0.00 μB/f.u.
Space-group type   C2/m, No. 12
Final energy   -3.6253 eV/atom

***

No. 12
The following is a PBE calculation of RbGdZnTe3 after structural relaxation, from OQMD via LeMat-Bulk.

```
24
Lattice="11.0816 0.0000 0.0000 0.0000 4.5102 0.0000 0.0000 0.0000 16.8152" Properties=species:S:1:pos:R:3 pbc="T T T"
Te 2.3916 3.3826 4.7731
Gd 3.6044 3.3826 7.4567
Te 5.7545 1.1275 6.6782
Zn 9.2756 1.1275 14.5714
Te 1.9130 1.1275 8.7334
Te 7.9324 3.3826 3.6344
Te 10.8678 3.3826 15.0858
Zn 7.3468 3.3826 6.1638
Gd 9.1452 3.3826 0.9509
Te 3.6278 3.3826 0.3259
Te 0.2137 1.1275 1.7294
Rb 5.0252 1.1275 3.0553
Gd 7.4771 1.1275 9.3585
Rb 6.0564 3.3826 13.7599
Gd 1.9363 1.1275 15.8643
Te 5.3271 3.3826 10.1370
Rb 10.5660 1.1275 5.3523
Te 3.1491 1.1275 13.1807
Zn 1.8060 3.3826 2.2438
Te 7.4538 1.1275 16.4893
Rb 0.5156 3.3826 11.4629
Te 9.1685 3.3826 8.0817
Te 8.6899 1.1275 12.0420
Zn 3.7348 1.1275 10.6514
```

Output
Relative energy among the computed polymorphs   0.095 eV/atom
Magnetic moment   0.00 μB/f.u.
Space-group type   Pnma, No. 62
Final energy   -3.7151 eV/atom

***

No. 13
The following is a PBE calculation of RbGdZnTe3 after structural relaxation, from OQMD via LeMat-Bulk.

```
24
Lattice="12.5061 0.0000 0.0000 0.0000 4.5827 0.0000 0.0000 0.0000 13.9801" Properties=species:S:1:pos:R:3 pbc="T T T"
Te 1.2048 0.0000 6.0319
Te 11.9813 0.0000 2.3058
Rb 3.9859 2.2913 6.9290
Te 5.7283 0.0000 4.6842
Te 7.4579 0.0000 0.9581
Rb 8.5202 0.0000 7.0511
Te 9.0378 2.2913 4.2816
Te 9.7213 0.0000 11.2716
Gd 5.9540 2.2913 2.5532
Te 2.7847 2.2913 2.7085
Zn 3.1155 2.2913 11.1413
Zn 9.3906 0.0000 2.8388
Zn 9.3686 2.2913 9.8289
Gd 12.2070 2.2913 4.4369
Rb 10.2390 2.2913 0.0611
Zn 3.1375 0.0000 4.1512
Te 3.4683 0.0000 9.6985
Te 0.5248 2.2913 11.6742
Te 5.0482 2.2913 13.0220
Gd 0.2990 0.0000 9.5432
Te 6.7778 2.2913 9.2959
Rb 2.2671 0.0000 13.9190
Te 11.3012 2.2913 7.9481
Gd 6.5521 0.0000 11.4269
```

Output
Relative energy among the computed polymorphs   0.078 eV/atom
Magnetic moment   0.00 μB/f.u.
Space-group type   Pnma, No. 62
Final energy   -3.7317 eV/atom

***

No. 14
The following is a PBE calculation of RbGdZnTe3 after structural relaxation, from OQMD via LeMat-Bulk.

```
12
Lattice="-5.4085 -3.5580 7.2534 -1.7648 -2.9881 -2.7816 9.6070 -5.2592 -0.4454" Properties=species:S:1:pos:R:3 pbc="T T T"
Te 7.4520 -5.2881 -0.8250
Te -2.1449 -4.4513 0.8092
Gd 2.5320 -9.7010 3.4813
Zn 0.1471 -5.7731 0.7749
Te 0.1001 -7.6480 2.8188
Rb -1.8399 -4.7680 4.5114
Zn 2.2867 -6.0322 3.2514
Te 4.5787 -7.3540 3.2172
Gd -0.0982 -2.1043 0.5450
Te -5.0181 -6.5173 4.8513
Rb 4.2738 -7.0374 -0.4851
Te 2.3338 -4.1573 1.2075
```

Output
Relative energy among the computed polymorphs   0.020 eV/atom
Magnetic moment   0.00 μB/f.u.
Space-group type   P2_1/m, No. 11
Final energy   -3.7902 eV/atom

***

No. 15
The following is a PBE calculation of RbGdTl after structural relaxation, from OQMD via LeMat-Bulk.

```
3
Lattice="0.0000 3.9654 3.9654 3.9654 0.0000 3.9654 3.9654 3.9654 0.0000" Properties=species:S:1:pos:R:3 pbc="T T T"
Rb 5.9481 5.9481 5.9481
Tl 0.0000 0.0000 0.0000
Gd 1.9827 1.9827 1.9827
```

Output
Magnetic moment   0.00 μB/f.u.
Space-group type   F-43m, No. 216
Final energy   -2.2517 eV/atom

***

No. 16
The following is a PBE calculation of RbGdU after structural relaxation, from OQMD via LeMat-Bulk.

```
3
Lattice="0.0000 4.1956 4.1956 4.1956 0.0000 4.1956 4.1956 4.1956 0.0000" Properties=species:S:1:pos:R:3 pbc="T T T"
U 6.2934 6.2934 6.2934
Gd 0.0000 0.0000 0.0000
Rb 2.0978 2.0978 2.0978
```

Output
Relative energy among the computed polymorphs   0.000 eV/atom
Magnetic moment   6.45 μB/f.u.
Space-group type   F-43m, No. 216
Final energy   -3.7337 eV/atom

***

No. 17
The following is a PBE calculation of RbGdY after structural relaxation, from OQMD via LeMat-Bulk.

```
3
Lattice="-4.0563 3.9725 1.8912 -0.3133 5.4030 -2.5534 -4.6645 1.4000 -3.4775" Properties=species:S:1:pos:R:3 pbc="T T T"
Rb -2.2585 2.6939 -1.0349
Gd 0.0000 0.0000 0.0000
Y -6.7755 8.0816 -3.1048
```

Output
Magnetic moment   1.26 μB/f.u.
Space-group type   F-43m, No. 216
Final energy   -2.7845 eV/atom

***

No. 18
The following is a PBE calculation of RbGdZn after structural relaxation, from OQMD via LeMat-Bulk.

```
3
Lattice="0.0000 3.8288 3.8288 3.8288 0.0000 3.8288 3.8288 3.8288 0.0000" Properties=species:S:1:pos:R:3 pbc="T T T"
Gd 1.9144 1.9144 1.9144
Zn 0.0000 0.0000 0.0000
Rb 5.7432 5.7432 5.7432
```

Output
Magnetic moment   0.15 μB/f.u.
Space-group type   F-43m, No. 216
Final energy   -1.6879 eV/atom

***

No. 19
The following is a PBE calculation of GdRe2 after structural relaxation, from OQMD via LeMat-Bulk.

```
6
Lattice="3.9011 -0.8001 8.0586 5.3586 6.5325 3.0678 -2.6924 5.1849 6.8314" Properties=species:S:1:pos:R:3 pbc="T T T"
Re 5.1420 7.3602 8.2681
Re 1.1165 6.6864 10.1499
Re 2.4627 4.0940 6.7342
Gd 3.2836 5.4587 8.9789
Re 4.4132 3.6939 10.7635
Gd 1.6418 2.7293 4.4895
```

Output
Magnetic moment   7.00 μB/f.u.
Space-group type   Fd-3m, No. 227
Final energy   -5.5359 eV/atom
Energy of formation   4297.4 meV/atom

***

No. 20
The following is a PBE calculation of GdRe2 after structural relaxation, from OQMD via LeMat-Bulk.

```
12
Lattice="-2.7431 -3.9274 2.5714 2.5240 -1.0731 -4.6945 7.3211 -2.2062 4.4405" Properties=species:S:1:pos:R:3 pbc="T T T"
Re 4.8782 -5.6184 2.3710
Re 3.4552 -2.1119 -2.3441
Gd 2.2147 -3.9409 2.0916
Re 3.6605 -1.1031 2.2203
Re 0.0000 0.0000 0.0000
Re 2.1168 -4.0281 -1.0895
Re 3.6468 -5.0948 4.6615
Re 2.2237 -1.5883 -0.0537
Gd 7.6309 -4.0926 1.8899
Gd 4.8873 -3.2658 0.2257
Re 4.9851 -3.1786 3.4069
Gd -0.5290 -3.1141 0.4275
```

Output
Magnetic moment   0.00 μB/f.u.
Space-group type   P6_3/mmc, No. 194
Final energy   -9.9823 eV/atom
Energy of formation   -148.9 meV/atom